[1]
A plane-wave DFT calculation with PBE was carried out for a relaxed structure of LiEu2Al.

Geometry as POSCAR:
```
LiEu2Al
1.0
3.903 0.000 0.000
0.000 3.903 0.000
0.000 0.000 7.748
Al Eu Li
1 2 1
Direct
0.500 0.500 0.500
0.000 0.000 0.272
0.000 0.000 0.728
0.500 0.500 0.000
```

Summary:
Space group = P4/mmm, No. 123
Spin magnetization = 14.52 μB per formula unit
D(E_F) = 12.41 states/eV per cell
Formation energy = -0.107 eV/atom
Calculated volume = 118 Å³ per cell


[2]
A plane-wave DFT calculation with PBE was carried out for a relaxed structure of LiEuAl2.

Geometry as POSCAR:
```
LiEuAl2
1.0
-0.547 2.143 -2.581
-3.340 -0.595 0.213
-0.685 5.536 4.742
Li Al Eu
1 2 1
Direct
0.500 0.500 0.000
0.000 0.000 0.810
0.000 0.000 0.190
0.500 0.500 0.500
```

Summary:
Space group = P4/mmm, No. 123
Spin magnetization = 6.85 μB per formula unit
D(E_F) = 5.58 states/eV per cell
Formation energy = -0.173 eV/atom
Excess energy over the best structure of this formula in the dataset = 0.000 eV/atom
Calculated volume = 85 Å³ per cell


[3]
A plane-wave DFT calculation with PBE was carried out for a relaxed structure of LiEuAl.

Geometry as POSCAR:
```
LiEuAl
1.0
-2.184 -0.470 -2.316
3.480 -2.383 -2.798
-2.871 -2.623 3.239
Eu Li Al
1 1 1
Direct
0.666 0.333 0.667
0.168 0.000 0.000
0.165 0.667 0.333
```

Summary:
Space group = P3m1, No. 156
Spin magnetization = 7.11 μB per formula unit
D(E_F) = 3.64 states/eV per cell
Formation energy = -0.098 eV/atom
Excess energy over the best structure of this formula in the dataset = 0.000 eV/atom
Calculated volume = 71 Å³ per cell


[4]
A plane-wave DFT calculation with PBE was carried out for a relaxed structure of LiEuAl2.

Geometry as POSCAR:
```
LiEuAl2
1.0
4.963 0.000 0.000
2.482 4.298 0.000
2.482 1.433 4.053
Al Li Eu
2 1 1
Direct
0.250 0.250 0.250
0.750 0.750 0.750
0.500 0.500 0.500
0.000 0.000 0.000
```

Summary:
Space group = Fm-3m, No. 225
Spin magnetization = 6.90 μB per formula unit
D(E_F) = 3.77 states/eV per cell
Formation energy = -0.124 eV/atom
Excess energy over the best structure of this formula in the dataset = 0.049 eV/atom
Calculated volume = 86 Å³ per cell


[5]
A plane-wave DFT calculation with PBE was carried out for a relaxed structure of LiEuAl2.

Geometry as POSCAR:
```
LiEuAl2
1.0
3.838 0.000 0.000
0.000 4.883 0.000
0.000 0.000 4.883
Al Li Eu
2 1 1
Direct
0.000 0.500 0.000
0.000 0.000 0.500
0.500 0.500 0.500
0.500 0.000 0.000
```

Summary:
Space group = P4/mmm, No. 123
Spin magnetization = 7.13 μB per formula unit
D(E_F) = 6.91 states/eV per cell
Formation energy = -0.040 eV/atom
Excess energy over the best structure of this formula in the dataset = 0.133 eV/atom
Calculated volume = 92 Å³ per cell


[6]
A plane-wave DFT calculation with PBE was carried out for a relaxed structure of Li2EuAl.

Geometry as POSCAR:
```
Li2EuAl
1.0
3.634 0.000 0.000
0.000 3.634 0.000
0.000 0.000 7.008
Al Li Eu
1 2 1
Direct
0.500 0.500 0.000
0.000 0.000 0.816
0.000 0.000 0.184
0.500 0.500 0.500
```

Summary:
Space group = P4/mmm, No. 123
Spin magnetization = 7.68 μB per formula unit
D(E_F) = 5.53 states/eV per cell
Formation energy = 0.034 eV/atom
Excess energy over the best structure of this formula in the dataset = 0.110 eV/atom
Calculated volume = 93 Å³ per cell


[7]
A plane-wave DFT calculation with PBE was carried out for a relaxed structure of Li2EuAl.

Geometry as POSCAR:
```
Li2EuAl
1.0
-1.697 -4.632 0.593
3.158 -3.686 1.061
-0.032 -2.076 4.514
Al Li Eu
1 2 1
Direct
0.500 0.500 0.500
0.750 0.750 0.750
0.250 0.250 0.250
0.000 0.000 0.000
```

Summary:
Space group = Fm-3m, No. 225
Spin magnetization = 7.03 μB per formula unit
D(E_F) = 11.69 states/eV per cell
Formation energy = -0.076 eV/atom
Excess energy over the best structure of this formula in the dataset = 0.000 eV/atom
Calculated volume = 87 Å³ per cell


[8]
A plane-wave DFT calculation with PBE was carried out for a relaxed structure of LiEu2Al.

Geometry as POSCAR:
```
LiEu2Al
1.0
-3.343 -0.767 -0.532
-1.443 -2.700 1.636
-4.714 6.073 9.544
Eu Li Al
2 1 1
Direct
0.087 0.087 0.738
0.913 0.913 0.262
0.500 0.500 0.500
0.000 0.000 0.000
```

Summary:
Space group = R-3m, No. 166
Spin magnetization = 15.71 μB per formula unit
D(E_F) = 3.97 states/eV per cell
Formation energy = 0.374 eV/atom
Calculated volume = 126 Å³ per cell


[9]
A plane-wave DFT calculation with PBE was carried out for a relaxed structure of LiEuLuAl.

Geometry as POSCAR:
```
LiEuLuAl
1.0
-1.811 -4.887 0.535
-0.586 -3.053 -4.218
3.204 -4.078 -0.748
Li Eu Al Lu
1 1 1 1
Direct
0.000 0.000 0.000
0.250 0.250 0.250
0.500 0.500 0.500
0.750 0.750 0.750
```

Summary:
Space group = F-43m, No. 216
Spin magnetization = 7.12 μB per formula unit
D(E_F) = 5.28 states/eV per cell
Formation energy = -0.110 eV/atom
Calculated volume = 102 Å³ per cell


[10]
A plane-wave DFT calculation with PBE was carried out for a relaxed structure of LiEuMgAl.

Geometry as POSCAR:
```
LiEuMgAl
1.0
5.078 0.000 0.000
2.539 4.397 0.000
2.539 1.466 4.146
Al Li Eu Mg
1 1 1 1
Direct
0.500 0.500 0.500
0.000 0.000 0.000
0.750 0.750 0.750
0.250 0.250 0.250
```

Summary:
Space group = F-43m, No. 216
Spin magnetization = 6.94 μB per formula unit
D(E_F) = 9.12 states/eV per cell
Formation energy = -0.158 eV/atom
Calculated volume = 93 Å³ per cell


[11]
A plane-wave DFT calculation with PBE was carried out for a relaxed structure of NaLiEuAl.

Geometry as POSCAR:
```
NaLiEuAl
1.0
5.313 0.000 0.000
2.656 4.601 0.000
2.656 1.534 4.338
Li Eu Al Na
1 1 1 1
Direct
0.000 0.000 0.000
0.500 0.500 0.500
0.750 0.750 0.750
0.250 0.250 0.250
```

Summary:
Space group = F-43m, No. 216
Spin magnetization = 7.81 μB per formula unit
D(E_F) = 12.98 states/eV per cell
Formation energy = 0.051 eV/atom
Calculated volume = 106 Å³ per cell


[12]
A plane-wave DFT calculation with PBE was carried out for a relaxed structure of LiNdEuAl.

Geometry as POSCAR:
```
LiNdEuAl
1.0
-3.882 3.079 -2.085
-1.335 -0.500 -5.184
-4.721 -2.181 -1.362
Nd Li Al Eu
1 1 1 1
Direct
0.750 0.750 0.750
0.000 0.000 0.000
0.500 0.500 0.500
0.250 0.250 0.250
```

Summary:
Space group = F-43m, No. 216
Spin magnetization = 7.45 μB per formula unit
D(E_F) = 8.94 states/eV per cell
Formation energy = -0.126 eV/atom
Calculated volume = 110 Å³ per cell


The lowest spin magnetization belongs to which entry? number 2


Which value of spin magnetization does entry 6 give? 7.68 μB per formula unit


The lowest spin magnetization belongs to which entry? number 2